Record 1
Compound: Eu2PCl
Source: the Alexandria database
Functional: PBE-GGA
Structure: relaxed

SG: Fm-3m
formation energy without anion corrections: -5.82 eV per formula unit
ρ: 6.32 g/cm³

```
4
Lattice="-1.9477 -4.5037 1.6054 2.0527 -2.3887 4.0908 -2.6292 -0.2406 4.4366" Properties=species:S:1:pos:R:3 pbc="T T T"
Eu -0.6310 -1.7833 2.5332
Eu -1.8931 -5.3498 7.5997
Cl 0.0000 0.0000 0.0000
P -1.2621 -3.5665 5.0665
```



Record 2
Compound: Eu2PCl
Source: the Alexandria database
Functional: PBE-GGA
Structure: relaxed

SG: P4/mmm
formation energy without anion corrections: -6.49 eV per formula unit
ρ: 5.86 g/cm³

```
4
Lattice="4.2212 0.0000 0.0000 0.0000 4.2212 0.0000 0.0000 0.0000 5.8946" Properties=species:S:1:pos:R:3 pbc="T T T"
Eu 2.1106 2.1106 2.9473
Eu 0.0000 0.0000 0.0000
Cl 2.1106 2.1106 0.0000
P 0.0000 0.0000 2.9473
```



Record 3
Compound: PmEuPCl
Source: the Alexandria database
Functional: PBE-GGA
Structure: relaxed

SG: F-43m
formation energy without anion corrections: -5.45 eV per formula unit
ρ: 6.54 g/cm³

```
4
Lattice="-1.4003 -4.5510 -1.7468 2.2790 -4.1896 1.7254 -2.5272 -3.2044 3.0114" Properties=species:S:1:pos:R:3 pbc="T T T"
P 0.0000 0.0000 0.0000
Eu -0.4121 -2.9862 0.7475
Pm -1.2363 -8.9587 2.2425
Cl -0.8242 -5.9725 1.4950
```



Record 4
Compound: Eu3Pb5Cl12
Source: the Alexandria database
Functional: PBE-GGA
Structure: relaxed

SG: Ia-3d
formation energy without anion corrections: -24.09 eV per formula unit
ρ: 4.46 g/cm³

```
80
Lattice="-0.8329 -0.0159 15.4609 -8.6011 -11.5716 -5.6439 14.7288 -1.9071 -4.3772" Properties=species:S:1:pos:R:3 pbc="T T T"
Eu 2.8525 -3.6180 6.6107
Pb -0.4164 -0.0080 7.7305
Cl -5.8875 -11.2551 -4.4322
Pb 3.0638 -6.7394 -5.0105
Cl 3.0938 -9.5065 1.6617
Eu 7.3038 -8.9050 -3.4922
Cl -4.6058 -11.5126 6.4278
Pb -0.6215 -3.1373 3.8397
Eu 3.4165 -11.5575 -6.2886
Pb 5.7719 -5.5353 -0.9869
Cl 0.0491 -2.7698 6.6875
Cl -4.4970 -7.8120 2.7152
Eu 1.8783 -1.9372 11.7285
Cl -3.0373 -6.7182 7.2011
Eu 4.2399 -2.1656 1.5183
Pb -1.0316 -9.3959 -3.9417
Cl 6.4431 -11.5411 -4.4379
Cl 5.1136 -2.6715 -1.2322
Cl 8.9565 -6.1933 -5.0738
Cl -2.4434 -5.3653 -0.5184
Cl 9.7919 -5.6827 2.7247
Cl 10.3357 -5.7819 6.1007
Cl 4.8897 -5.0108 1.7774
Cl 9.9006 -1.9821 -0.9879
Cl 4.5176 -6.3108 5.0099
Pb 0.0000 0.0000 0.0000
Cl 5.7801 -3.5245 6.5415
Cl 0.4051 -8.4839 3.6625
Cl 12.8949 -3.0050 -2.2883
Cl -7.6000 -10.4897 7.7282
Cl 8.3321 -6.7765 -1.7612
Cl 0.1812 -10.8232 6.6721
Pb -0.4770 -7.9594 6.4268
Eu 2.4423 -9.8766 -1.1708
Eu 1.0549 -11.3291 3.9216
Pb -4.3643 -10.6119 3.6304
Pb 7.3644 -0.9536 -2.1886
Cl -2.7277 -11.0229 -5.7224
Eu -2.0058 -7.7150 1.1761
Cl -1.8601 -10.4989 2.0778
Cl 4.7812 -8.9826 -5.9855
Eu 10.6333 -4.5636 -3.3084
Cl 1.0520 -12.1981 1.1235
Cl 5.2457 -10.7249 -1.2476
Pb -4.3006 -5.7858 -2.8219
Cl -2.9022 -4.6932 2.8044
Cl -3.6616 -7.3014 10.5137
Cl 2.2011 -3.9882 3.7782
Eu -2.0090 -4.5897 8.9321
Pb 6.9480 -0.9615 5.5419
Pb -4.7170 -5.7938 4.9085
Pb 0.3527 -4.8181 -1.2781
Pb 5.9163 -10.3574 1.6002
Cl 2.1068 -1.0525 8.9447
Cl 1.9151 -9.3050 -3.9956
Pb 9.6591 -2.8828 1.8095
Cl -0.4853 -9.9702 -1.1016
Pb 6.3265 -4.0988 9.3816
Cl 7.1549 -2.9958 3.3622
Cl 3.5644 -11.2674 6.4284
Eu 7.3006 -5.7797 4.2638
Cl -1.1483 -1.9536 9.8778
Cl -5.0409 -7.7128 -0.6607
Pb -5.8931 -10.3675 -1.6203
Cl 0.7773 -7.1839 0.4300
Pb 2.6474 -6.7473 2.7200
Cl 0.5428 -5.8122 8.1717
Cl 7.7383 -8.1294 5.9583
Cl 4.7520 -7.6824 -2.7318
Cl 3.1881 -12.4422 -3.5048
Cl 11.1823 -2.2395 9.8721
Pb 11.1879 -3.1272 7.0602
Pb 4.9422 -8.6766 6.7180
Cl 4.2428 -1.2966 4.3164
Cl 3.3797 -4.1897 9.4355
Cl 0.5136 -4.5121 11.4254
Eu -5.3385 -8.9310 8.7483
Cl 1.7304 -2.2272 -0.9885
Cl 8.0225 -2.4718 11.1623
Cl 8.1971 -8.8015 2.6355
```



Record 5
Compound: Eu2PdCl
Source: the Alexandria database
Functional: PBE-GGA
Structure: relaxed

SG: R-3m
ΔE to the lowest computed polymorph: 0.00 eV per formula unit
formation energy without anion corrections: -4.75 eV per formula unit
ρ: 6.44 g/cm³

```
4
Lattice="4.1841 0.0000 0.0000 2.0921 3.6236 0.0000 2.0921 1.2079 7.5830" Properties=species:S:1:pos:R:3 pbc="T T T"
Eu 2.0921 1.2079 1.7162
Cl 4.1841 2.4157 3.7915
Pd 0.0000 0.0000 0.0000
Eu 6.2762 3.6236 5.8669
```



Record 6
Compound: Eu2PdCl
Source: the Alexandria database
Functional: PBE-GGA
Structure: relaxed

SG: P4/mmm
ΔE to the lowest computed polymorph: 0.21 eV per formula unit
formation energy without anion corrections: -4.54 eV per formula unit
ρ: 7.23 g/cm³

```
4
Lattice="3.6005 0.0000 0.0000 0.0000 3.6005 0.0000 0.0000 0.0000 7.8970" Properties=species:S:1:pos:R:3 pbc="T T T"
Cl 1.8003 1.8003 3.9485
Eu 0.0000 0.0000 1.8056
Pd 1.8003 1.8003 0.0000
Eu 0.0000 0.0000 6.0914
```